No. 1
La3Hg3PdPt2: relaxed, GGA-PBE.

Computed properties:
total magnetic moment = 0.01 μB/f.u.
SG = P-62m (189)
VASP energy = -4.513 eV/atom
density = 11.58 g/cm3

Cell and atoms, written as POSCAR:
```
La3Hg3PdPt2
1.0
7.9012 0.0000 0.0000
-3.9506 6.8426 0.0000
0.0000 0.0000 4.0194
La Hg Pd Pt
3 3 1 2
Cartesian
-2.3386 4.0506 0.0000
1.6120 2.7920 0.0000
4.6772 0.0000 0.0000
-1.0068 1.7439 2.0097
2.0137 0.0000 2.0097
2.9438 5.0987 2.0097
0.0000 0.0000 0.0000
0.0000 4.5618 2.0097
3.9506 2.2809 2.0097
```

---

No. 2
TmZrFe: relaxed, GGA-PBE.

Computed properties:
total magnetic moment = 0.00 μB/f.u.
SG = F-43m (216)
E above lowest polymorph = 0.0 meV/atom
density = 8.24 g/cm3

Cell and atoms, written as POSCAR:
```
TmZrFe
1.0
6.3396 0.0000 0.0000
0.0000 6.3396 0.0000
0.0000 0.0000 6.3396
Tm Zr Fe
4 4 4
Cartesian
0.0000 0.0000 0.0000
0.0000 3.1698 3.1698
3.1698 0.0000 3.1698
3.1698 3.1698 0.0000
0.0000 0.0000 3.1698
0.0000 3.1698 0.0000
3.1698 0.0000 0.0000
3.1698 3.1698 3.1698
1.5849 1.5849 1.5849
1.5849 4.7547 4.7547
4.7547 1.5849 4.7547
4.7547 4.7547 1.5849
```

---

No. 3
AcLuAl: relaxed, GGA-PBE.

Computed properties:
total magnetic moment = 0.04 μB/f.u.
SG = F-43m (216)
E above lowest polymorph = 0.0 meV/atom
density = 6.95 g/cm3

Cell and atoms, written as POSCAR:
```
AcLuAl
1.0
7.4278 0.0000 0.0000
0.0000 7.4278 0.0000
0.0000 0.0000 7.4278
Ac Lu Al
4 4 4
Cartesian
0.0000 0.0000 0.0000
0.0000 3.7139 3.7139
3.7139 0.0000 3.7139
3.7139 3.7139 0.0000
0.0000 0.0000 3.7139
0.0000 3.7139 0.0000
3.7139 0.0000 0.0000
3.7139 3.7139 3.7139
1.8570 1.8570 1.8570
1.8570 5.5709 5.5709
5.5709 1.8570 5.5709
5.5709 5.5709 1.8570
```